# GGA-PBE CaBP3, optimized geometry
data_CaBP3
_chemical_formula_sum 'Ca1 B1 P3'
_cell_length_a 5.185
_cell_length_b 5.185
_cell_length_c 5.185
_cell_angle_alpha 90.00
_cell_angle_beta 90.00
_cell_angle_gamma 90.00
_space_group_name_H-M_alt 'P m -3 m'
_space_group_IT_number 221
_space_group_name_Hall '-P 4 2 3'
loop_
_atom_site_label
_atom_site_type_symbol
_atom_site_fract_x
_atom_site_fract_y
_atom_site_fract_z
Ca1 Ca 0.000 0.000 0.000
B1 B 0.500 0.500 0.500
P1 P 0.000 0.000 0.500
# E_form   192.81 kJ/mol of atoms
# Energy relative to the lowest polymorph listed for this composition   1685 meV per atom
# Calculated volume   139.4 Å³/cell